The following is a DFT calculation (PBE) of crystalline AcB4Pt at its relaxed geometry.

a = 3.2119 Å, b = 5.2980 Å, c = 9.0792 Å
α = 90.00°, β = 90.00°, γ = 90.00°
Space group Immm (No. 71)
Inequivalent atoms, fractional coordinates:
Ac 0.0000 0.0000 0.0000 [2 per cell]
B 0.0000 0.3195 0.2589 [8 per cell]
Pt 0.0000 0.0000 0.5000 [2 per cell]

Uncorrected energy ... -35.7 eV per formula unit
Energy above the lowest structure with this stoichiometry ... 18 meV per atom